[1]
## Ca2PbBr (PBE-GGA)

Data for a geometry-optimized Ca2PbBr structure.

Cell and atoms, written as extended XYZ:
```
4
Lattice="3.8034 0.0000 0.0000 0.0000 4.2170 -0.0479 0.0000 0.1086 8.2883" Properties=species:S:1:pos:R:3 pbc="T T T"
Ca 0.0000 3.2080 3.8264
Ca 0.0000 3.1718 0.2458
Br 1.9017 3.2442 6.1803
Pb 1.9017 1.0814 2.0601
```

Distance to the lowest polymorph of the same formula, meV per atom: 0.0
Space-group type: P2/m (10)
ρ, Mg/m³: 4.6
E, eV/cell: -13.46

[2]
## Ca2PbBr (PBE-GGA)

Data for a geometry-optimized Ca2PbBr structure.

Cell and atoms, written as extended XYZ:
```
4
Lattice="-3.9555 0.2875 -4.4489 -4.3066 -2.9424 2.8839 2.9433 5.1515 0.5658" Properties=species:S:1:pos:R:3 pbc="T T T"
Pb -2.5716 2.0558 -2.3328
Ca -0.2151 -0.0691 -0.0407
Ca -3.9160 -1.2583 -0.7418
Br -2.7472 0.4409 1.3336
```

Distance to the lowest polymorph of the same formula, meV per atom: 203.8
Space-group type: Immm (71)
ρ, Mg/m³: 4.7
E, eV/cell: -12.64

[3]
## CaPbBr2 (PBE-GGA)

Data for a geometry-optimized CaPbBr2 structure.

Cell and atoms, written as extended XYZ:
```
4
Lattice="-1.7267 -1.5298 4.5499 4.6340 -1.8058 1.1392 1.1054 3.9362 1.7429" Properties=species:S:1:pos:R:3 pbc="T T T"
Br 0.0000 0.0000 0.0000
Br 1.4536 -1.6678 2.8446
Ca -0.3106 1.2032 3.1464
Pb 2.8697 1.0652 1.4411
```

Distance to the lowest polymorph of the same formula, meV per atom: 410.4
Space-group type: Cmmm (65)
ρ, Mg/m³: 5.8
E, eV/cell: -12.30

[4]
## CaPbBr2 (PBE-GGA)

Data for a geometry-optimized CaPbBr2 structure.

Cell and atoms, written as extended XYZ:
```
4
Lattice="4.2247 0.0000 0.0000 0.0000 5.7172 0.2755 0.0000 0.8894 5.6554" Properties=species:S:1:pos:R:3 pbc="T T T"
Pb 2.1123 4.9549 4.4482
Br 0.0000 3.1458 2.8257
Br 0.0000 0.1575 0.1398
Ca 2.1123 1.6516 1.4827
```

Distance to the lowest polymorph of the same formula, meV per atom: 255.4
Space-group type: Cmmm (65)
ρ, Mg/m³: 5.0
E, eV/cell: -12.92

[5]
## CaPbBr2 (PBE-GGA)

Data for a geometry-optimized CaPbBr2 structure.

Cell and atoms, written as extended XYZ:
```
4
Lattice="-2.3027 -0.0052 -6.7756 -0.8363 -5.5428 -4.4485 -1.3382 2.4194 6.6005" Properties=species:S:1:pos:R:3 pbc="T T T"
Br -1.8720 -2.9487 -1.7300
Br 0.0000 0.0000 0.0000
Pb -2.6052 -0.1799 -2.8935
Ca -1.5695 -2.7740 -5.6120
```

Distance to the lowest polymorph of the same formula, meV per atom: 360.4
Space-group type: I-4m2 (119)
ρ, Mg/m³: 5.5
E, eV/cell: -12.50

[6]
## CaPbBr2 (PBE-GGA)

Data for a geometry-optimized CaPbBr2 structure.

Cell and atoms, written as extended XYZ:
```
4
Lattice="-2.3805 -2.4047 5.4264 1.4236 -6.2322 -0.1676 2.2960 5.9557 0.3904" Properties=species:S:1:pos:R:3 pbc="T T T"
Br -0.5156 -4.6533 2.8333
Br -0.9198 -8.3021 5.0549
Pb 1.6206 -2.2975 1.4261
Ca -0.2814 -0.3837 4.2231
```

Distance to the lowest polymorph of the same formula, meV per atom: 190.2
Space-group type: Immm (71)
ρ, Mg/m³: 5.2
E, eV/cell: -13.18

[7]
## Ca2PbBr (PBE-GGA)

Data for a geometry-optimized Ca2PbBr structure.

Cell and atoms, written as extended XYZ:
```
4
Lattice="-3.1077 3.2860 -3.4058 -1.8781 -2.0223 -4.9435 -5.5139 -1.0720 -0.7088" Properties=species:S:1:pos:R:3 pbc="T T T"
Ca -2.6249 0.0479 -2.2645
Ca 0.0000 0.0000 0.0000
Br -5.2498 0.0958 -4.5290
Pb -7.8748 0.1438 -6.7935
```

Distance to the lowest polymorph of the same formula, meV per atom: 741.7
Space-group type: F-43m (216)
ρ, Mg/m³: 4.8
E, eV/cell: -10.49

[8]
## Ca2PbBr (PBE-GGA)

Data for a geometry-optimized Ca2PbBr structure.

Cell and atoms, written as extended XYZ:
```
4
Lattice="0.0000 3.9255 3.9255 3.9255 0.0000 3.9255 3.9255 3.9255 0.0000" Properties=species:S:1:pos:R:3 pbc="T T T"
Ca 5.8883 5.8883 5.8883
Ca 1.9628 1.9628 1.9628
Pb 3.9255 3.9255 3.9255
Br 0.0000 0.0000 0.0000
```

Distance to the lowest polymorph of the same formula, meV per atom: 262.0
Space-group type: Fm-3m (225)
ρ, Mg/m³: 5.0
E, eV/cell: -12.41